No. 1
# P2Pb4O9 SCAN single point on PBEsol structure
# Energy relative to the elements, uncorrected: -29.19 eV per formula unit
# Fermi-level density of states: 0.00 states/eV per cell
# Theoretical density: 7.24 g cm⁻³
# VASP energy: -1636.76 eV per cell
# Calculated volume: 949.1 Å³/cell
data_P2Pb4O9
_space_group_name_H-M_alt 'P 1 21/c 1'
_space_group_IT_number 14
_space_group_name_Hall '-P 2ybc'
_cell_length_a 9.438
_cell_length_b 7.151
_cell_length_c 14.499
_cell_angle_alpha 90.00
_cell_angle_beta 104.09
_cell_angle_gamma 90.00
loop_
_atom_site_label
_atom_site_type_symbol
_atom_site_fract_x
_atom_site_fract_y
_atom_site_fract_z
P1 P 0.033 0.207 0.405
P2 P 0.371 0.734 0.815
Pb1 Pb 0.036 0.698 0.351
Pb2 Pb 0.285 0.014 0.613
Pb3 Pb 0.314 0.001 0.084
Pb4 Pb 0.327 0.231 0.333
O1 O 0.028 0.505 0.110
O2 O 0.064 0.216 0.811
O3 O 0.080 0.671 0.562
O4 O 0.185 0.215 0.477
O5 O 0.230 0.209 0.174
O6 O 0.255 0.599 0.839
O7 O 0.293 0.576 0.284
O8 O 0.431 0.648 0.733
O9 O 0.498 0.243 0.097



No. 2
# RbCaFe2 SCAN single point on PBEsol structure
# Fermi-level density of states: 16.15 states/eV per cell
# Theoretical density: 3.94 g cm⁻³
# VASP energy: -247.13 eV per cell
# Calculated volume: 399.9 Å³/cell
data_RbCaFe2
_space_group_name_H-M_alt 'F m -3 m'
_space_group_IT_number 225
_space_group_name_Hall '-F 4 2 3'
_cell_length_a 7.367
_cell_length_b 7.367
_cell_length_c 7.367
_cell_angle_alpha 90.00
_cell_angle_beta 90.00
_cell_angle_gamma 90.00
loop_
_atom_site_label
_atom_site_type_symbol
_atom_site_fract_x
_atom_site_fract_y
_atom_site_fract_z
Rb1 Rb 0.000 0.000 0.000
Ca1 Ca 0.000 0.000 0.500
Fe1 Fe 0.250 0.250 0.250



No. 3
# YHg2Rh SCAN single point on PBEsol structure
# Fermi-level density of states: 14.04 states/eV per cell
# Theoretical density: 12.53 g cm⁻³
# VASP energy: -798.27 eV per cell
# Calculated volume: 314.3 Å³/cell
data_YHg2Rh
_space_group_name_H-M_alt 'F m -3 m'
_space_group_IT_number 225
_space_group_name_Hall '-F 4 2 3'
_cell_length_a 6.799
_cell_length_b 6.799
_cell_length_c 6.799
_cell_angle_alpha 90.00
_cell_angle_beta 90.00
_cell_angle_gamma 90.00
loop_
_atom_site_label
_atom_site_type_symbol
_atom_site_fract_x
_atom_site_fract_y
_atom_site_fract_z
Y1 Y 0.000 0.000 0.000
Hg1 Hg 0.250 0.250 0.250
Rh1 Rh 0.000 0.000 0.500



No. 4
# HoNiAs SCAN single point on PBEsol structure
# Fermi-level density of states: 1.57 states/eV per cell
# Theoretical density: 9.47 g cm⁻³
# VASP energy: -88.78 eV per cell
# Calculated volume: 52.4 Å³/cell
data_HoNiAs
_space_group_name_H-M_alt 'P -6 m 2'
_space_group_IT_number 187
_space_group_name_Hall 'P -6 2'
_cell_length_a 3.9840
_cell_length_b 3.9840
_cell_length_c 3.8089
_cell_angle_alpha 90.00
_cell_angle_beta 90.00
_cell_angle_gamma 120.00
loop_
_atom_site_label
_atom_site_type_symbol
_atom_site_fract_x
_atom_site_fract_y
_atom_site_fract_z
Ho1 Ho 0.0000 0.0000 0.0000
Ni1 Ni 0.3333 0.6667 0.5000
As1 As 0.6667 0.3333 0.5000